# 1
# CdIrPt | Alexandria | PBE-GGA | relaxed
data_CdIrPt
_cell_length_a 6.4773
_cell_length_b 6.4773
_cell_length_c 6.4773
_cell_angle_alpha 154.68
_cell_angle_beta 154.68
_cell_angle_gamma 36.11
_space_group_name_H-M_alt 'P 1'
_space_group_IT_number 1
loop_
_space_group_symop_operation_xyz
'x,y,z'
loop_
_atom_site_label
_atom_site_type_symbol
_atom_site_fract_x
_atom_site_fract_y
_atom_site_fract_z
_atom_site_occupancy
Cd1 Cd 0.0000 0.0000 0.0000 1
Ir1 Ir 0.3279 0.3279 0.0000 1
Pt1 Pt 0.6759 0.6759 0.0000 1
# D(E_F) in states/eV per atom: 1.274
# Space group: I4mm, No. 107
# Magnetic moment in μB/cell: 0.0
# Excess energy over the best structure of this formula in the dataset in eV/atom: 0.0000
# Formation energy from the elements in eV per atom: 0.058


# 2
# Cd2IrPt | Alexandria | PBE-GGA | relaxed
data_Cd2IrPt
_cell_length_a 5.9455
_cell_length_b 5.9455
_cell_length_c 5.9455
_cell_angle_alpha 102.52
_cell_angle_beta 102.52
_cell_angle_gamma 124.50
_space_group_name_H-M_alt 'P 1'
_space_group_IT_number 1
loop_
_space_group_symop_operation_xyz
'x,y,z'
loop_
_atom_site_label
_atom_site_type_symbol
_atom_site_fract_x
_atom_site_fract_y
_atom_site_fract_z
_atom_site_occupancy
Cd1 Cd 0.1252 0.1250 0.5002 1
Cd2 Cd 0.3750 0.8748 0.9998 1
Cd3 Cd 0.6248 0.6250 0.4998 1
Cd4 Cd 0.8750 0.3752 0.0002 1
Ir1 Ir 0.0000 0.0000 0.0000 1
Ir2 Ir 0.7500 0.2500 0.5000 1
Pt1 Pt 0.2500 0.7500 0.5000 1
Pt2 Pt 0.5000 0.5000 0.0000 1
# D(E_F) in states/eV per atom: 0.848
# Space group: I-42d, No. 122
# Magnetic moment in μB/cell: 0.0
# Formation energy from the elements in eV per atom: 0.403


# 3
# Cd2IrPt | Alexandria | PBE-GGA | relaxed
data_Cd2IrPt
_cell_length_a 4.6206
_cell_length_b 4.6206
_cell_length_c 4.6206
_cell_angle_alpha 60.00
_cell_angle_beta 60.00
_cell_angle_gamma 60.00
_space_group_name_H-M_alt 'P 1'
_space_group_IT_number 1
loop_
_space_group_symop_operation_xyz
'x,y,z'
loop_
_atom_site_label
_atom_site_type_symbol
_atom_site_fract_x
_atom_site_fract_y
_atom_site_fract_z
_atom_site_occupancy
Cd1 Cd 0.0000 0.0000 0.0000 1
Cd2 Cd 0.2500 0.2500 0.2500 1
Ir1 Ir 0.5000 0.5000 0.5000 1
Pt1 Pt 0.7500 0.7500 0.7500 1
# D(E_F) in states/eV per atom: 1.336
# Space group: F-43m, No. 216
# Magnetic moment in μB/cell: 0.0
# Formation energy from the elements in eV per atom: 0.124


# 4
# CdIr2Pt | Alexandria | PBE-GGA | relaxed
data_CdIr2Pt
_cell_length_a 4.8779
_cell_length_b 4.8779
_cell_length_c 4.8779
_cell_angle_alpha 131.50
_cell_angle_beta 131.50
_cell_angle_gamma 71.03
_space_group_name_H-M_alt 'P 1'
_space_group_IT_number 1
loop_
_space_group_symop_operation_xyz
'x,y,z'
loop_
_atom_site_label
_atom_site_type_symbol
_atom_site_fract_x
_atom_site_fract_y
_atom_site_fract_z
_atom_site_occupancy
Cd1 Cd 0.0000 0.0000 0.0000 1
Ir1 Ir 0.2500 0.7500 0.5000 1
Ir2 Ir 0.7500 0.2500 0.5000 1
Pt1 Pt 0.5000 0.5000 0.0000 1
# D(E_F) in states/eV per atom: 1.211
# Space group: I4/mmm, No. 139
# Magnetic moment in μB/cell: 0.0
# Formation energy from the elements in eV per atom: 0.213


# 5
# CdIrPt | Alexandria | PBE-GGA | relaxed
data_CdIrPt
_cell_length_a 2.8584
_cell_length_b 2.8584
_cell_length_c 6.9594
_cell_angle_alpha 90.00
_cell_angle_beta 90.00
_cell_angle_gamma 120.00
_space_group_name_H-M_alt 'P 1'
_space_group_IT_number 1
loop_
_space_group_symop_operation_xyz
'x,y,z'
loop_
_atom_site_label
_atom_site_type_symbol
_atom_site_fract_x
_atom_site_fract_y
_atom_site_fract_z
_atom_site_occupancy
Cd1 Cd 0.0000 0.0000 0.0000 1
Ir1 Ir 0.6667 0.3333 0.3391 1
Pt1 Pt 0.3333 0.6667 0.6577 1
# D(E_F) in states/eV per atom: 1.157
# Space group: P3m1, No. 156
# Magnetic moment in μB/cell: 0.4
# Excess energy over the best structure of this formula in the dataset in eV/atom: 0.0290
# Formation energy from the elements in eV per atom: 0.087


# 6
# CdIr2Pt | Alexandria | PBE-GGA | relaxed
data_CdIr2Pt
_cell_length_a 2.7930
_cell_length_b 2.7930
_cell_length_c 9.6663
_cell_angle_alpha 90.00
_cell_angle_beta 90.00
_cell_angle_gamma 120.56
_space_group_name_H-M_alt 'P 1'
_space_group_IT_number 1
loop_
_space_group_symop_operation_xyz
'x,y,z'
loop_
_atom_site_label
_atom_site_type_symbol
_atom_site_fract_x
_atom_site_fract_y
_atom_site_fract_z
_atom_site_occupancy
Cd1 Cd 0.0000 0.0000 0.0000 1
Ir1 Ir 0.0000 0.0000 0.4919 1
Ir2 Ir 0.5000 0.5000 0.2595 1
Pt1 Pt 0.5000 0.5000 0.7388 1
# D(E_F) in states/eV per atom: 0.972
# Space group: Cmm2, No. 35
# Magnetic moment in μB/cell: 0.0
# Formation energy from the elements in eV per atom: 0.215


# 7
# CdIr2Pt | Alexandria | PBE-GGA | relaxed
data_CdIr2Pt
_cell_length_a 2.8094
_cell_length_b 2.8094
_cell_length_c 8.1288
_cell_angle_alpha 90.00
_cell_angle_beta 90.00
_cell_angle_gamma 90.00
_space_group_name_H-M_alt 'P 1'
_space_group_IT_number 1
loop_
_space_group_symop_operation_xyz
'x,y,z'
loop_
_atom_site_label
_atom_site_type_symbol
_atom_site_fract_x
_atom_site_fract_y
_atom_site_fract_z
_atom_site_occupancy
Cd1 Cd 0.0000 0.0000 0.0000 1
Ir1 Ir 0.0000 0.0000 0.4889 1
Ir2 Ir 0.5000 0.5000 0.2706 1
Pt1 Pt 0.5000 0.5000 0.7311 1
# D(E_F) in states/eV per atom: 0.714
# Space group: P4mm, No. 99
# Magnetic moment in μB/cell: 0.0
# Formation energy from the elements in eV per atom: -0.004


# 8
# Cd2IrPt | Alexandria | PBE-GGA | relaxed
data_Cd2IrPt
_cell_length_a 2.9005
_cell_length_b 2.9005
_cell_length_c 8.4432
_cell_angle_alpha 90.00
_cell_angle_beta 90.00
_cell_angle_gamma 90.00
_space_group_name_H-M_alt 'P 1'
_space_group_IT_number 1
loop_
_space_group_symop_operation_xyz
'x,y,z'
loop_
_atom_site_label
_atom_site_type_symbol
_atom_site_fract_x
_atom_site_fract_y
_atom_site_fract_z
_atom_site_occupancy
Cd1 Cd 0.0000 0.0000 0.0000 1
Cd2 Cd 0.5000 0.5000 0.2976 1
Ir1 Ir 0.0000 0.0000 0.5366 1
Pt1 Pt 0.5000 0.5000 0.7563 1
# D(E_F) in states/eV per atom: 1.246
# Space group: P4mm, No. 99
# Magnetic moment in μB/cell: 0.0
# Formation energy from the elements in eV per atom: 0.076